{"formula": "MgRu2PbS", "functional": "SCAN", "state": "PBEsol geometry", "final_energy_ev_per_cell": -152.41, "cell": [[4.989, 0.000, 0.000], [0.000, 4.989, 0.000], [0.000, 0.000, 5.112]], "species": ["Mg", "Ru", "Ru", "Pb", "S"], "fractional_positions": [[0.000, 0.000, 0.000], [0.000, 0.500, 0.500], [0.500, 0.000, 0.500], [0.500, 0.500, 0.500], [0.500, 0.500, 0.000]]}


{"formula": "MgPb3S", "functional": "SCAN", "state": "PBEsol geometry", "final_energy_ev_per_cell": -239.69, "cell": [[5.374, 0.000, 0.000], [0.000, 5.374, 0.000], [0.000, 0.000, 5.374]], "species": ["Mg", "Pb", "Pb", "Pb", "S"], "fractional_positions": [[0.000, 0.000, 0.000], [0.000, 0.000, 0.500], [0.000, 0.500, 0.000], [0.500, 0.000, 0.000], [0.500, 0.500, 0.500]]}


{"formula": "Mg2SbPb2", "functional": "SCAN", "state": "PBEsol geometry", "final_energy_ev_per_cell": -198.03, "cell": [[-2.089, 2.089, 8.012], [2.089, -2.089, 8.012], [2.089, 2.089, -8.012]], "species": ["Mg", "Mg", "Sb", "Pb", "Pb"], "fractional_positions": [[0.250, 0.750, 0.500], [0.750, 0.250, 0.500], [0.000, 0.000, 0.000], [0.401, 0.401, 0.000], [0.599, 0.599, 0.000]]}


{"formula": "MgSbTe2Pb", "functional": "SCAN", "state": "PBEsol geometry", "final_energy_ev_per_cell": -191.46, "cell": [[5.437, 0.000, 0.000], [0.000, 5.437, 0.000], [0.000, 0.000, 5.269]], "species": ["Mg", "Sb", "Te", "Te", "Pb"], "fractional_positions": [[0.000, 0.000, 0.000], [0.000, 0.000, 0.500], [0.000, 0.500, 0.000], [0.500, 0.000, 0.000], [0.500, 0.500, 0.500]]}


{"formula": "MgScPb2", "functional": "SCAN", "state": "PBEsol geometry", "ef_kj_per_mol_atoms": -34.2, "cell": [[3.574, -3.865, 0.000], [3.574, 3.865, 0.000], [0.000, 0.000, 3.515]], "species": ["Mg", "Sc", "Pb", "Pb"], "fractional_positions": [[0.000, 0.000, 0.000], [0.500, 0.500, 0.000], [0.000, 0.500, 0.500], [0.500, 0.000, 0.500]]}


{"formula": "Mg2ScPb", "functional": "SCAN", "state": "PBEsol geometry", "ef_kj_per_mol_atoms": -20.1, "cell": [[3.733, 0.000, 0.000], [0.000, 3.733, 0.000], [0.000, 0.000, 6.652]], "species": ["Mg", "Mg", "Sc", "Pb"], "fractional_positions": [[0.000, 0.000, 0.000], [0.500, 0.500, 0.233], [0.500, 0.500, 0.745], [0.000, 0.000, 0.498]]}


{"formula": "MgScPb", "functional": "SCAN", "state": "PBEsol geometry", "ef_kj_per_mol_atoms": -27.0, "cell": [[0.000, 3.394, 3.394], [3.394, 0.000, 3.394], [3.394, 3.394, 0.000]], "species": ["Mg", "Sc", "Pb"], "fractional_positions": [[0.000, 0.000, 0.000], [0.500, 0.500, 0.500], [0.250, 0.250, 0.250]]}


{"formula": "MgScPb2", "functional": "SCAN", "state": "PBEsol geometry", "ef_kj_per_mol_atoms": -37.9, "cell": [[4.779, 0.000, 0.000], [0.000, 4.779, 0.000], [0.000, 0.000, 4.206]], "species": ["Mg", "Sc", "Pb", "Pb"], "fractional_positions": [[0.000, 0.000, 0.000], [0.500, 0.500, 0.000], [0.000, 0.500, 0.500], [0.500, 0.000, 0.500]]}


{"formula": "MgScPb2", "functional": "SCAN", "state": "PBEsol geometry", "ef_kj_per_mol_atoms": -35.4, "cell": [[5.737, -1.751, 0.000], [5.737, 1.751, 0.000], [-1.540, 0.000, 4.865]], "species": ["Mg", "Sc", "Pb", "Pb"], "fractional_positions": [[0.000, 0.000, 0.000], [0.754, 0.754, 0.401], [0.249, 0.249, 0.894], [0.494, 0.494, 0.484]]}


{"formula": "Mg2ScPb", "functional": "SCAN", "state": "PBEsol geometry", "ef_kj_per_mol_atoms": -15.3, "cell": [[3.408, 0.000, 0.000], [0.000, 4.444, 0.000], [0.000, 0.000, 6.213]], "species": ["Mg", "Mg", "Sc", "Pb"], "fractional_positions": [[0.000, 0.000, 0.241], [0.000, 0.000, 0.759], [0.500, 0.500, 0.000], [0.500, 0.500, 0.500]]}


{"formula": "Mg2ScPb", "functional": "SCAN", "state": "PBEsol geometry", "ef_kj_per_mol_atoms": -37.1, "cell": [[4.383, 0.000, 0.000], [0.000, 4.383, 0.000], [0.000, 0.000, 4.603]], "species": ["Mg", "Mg", "Sc", "Pb"], "fractional_positions": [[0.000, 0.500, 0.000], [0.500, 0.000, 0.000], [0.000, 0.000, 0.500], [0.500, 0.500, 0.500]]}


{"formula": "MgScPb2", "functional": "SCAN", "state": "PBEsol geometry", "ef_kj_per_mol_atoms": -32.8, "cell": [[3.406, 0.000, 0.000], [0.000, 4.225, 0.000], [0.000, 0.000, 6.756]], "species": ["Mg", "Sc", "Pb", "Pb"], "fractional_positions": [[0.000, 0.000, 0.000], [0.000, 0.000, 0.500], [0.500, 0.500, 0.253], [0.500, 0.500, 0.747]]}


{"formula": "MgSc2Pb", "functional": "SCAN", "state": "PBEsol geometry", "ef_kj_per_mol_atoms": -37.7, "cell": [[3.382, 0.000, 0.000], [0.000, 4.120, 0.000], [0.000, 0.000, 6.481]], "species": ["Mg", "Sc", "Sc", "Pb"], "fractional_positions": [[0.000, 0.000, 0.000], [0.500, 0.500, 0.250], [0.500, 0.500, 0.750], [0.000, 0.000, 0.500]]}


{"formula": "MgSc2Pb", "functional": "SCAN", "state": "PBEsol geometry", "ef_kj_per_mol_atoms": -42.9, "cell": [[4.516, 0.000, 0.000], [0.000, 4.516, 0.000], [0.000, 0.000, 4.375]], "species": ["Mg", "Sc", "Sc", "Pb"], "fractional_positions": [[0.000, 0.000, 0.000], [0.000, 0.500, 0.500], [0.500, 0.000, 0.500], [0.500, 0.500, 0.000]]}


{"formula": "Mg2ScPb", "functional": "SCAN", "state": "PBEsol geometry", "ef_kj_per_mol_atoms": -16.0, "cell": [[0.000, 3.592, 3.592], [3.592, 0.000, 3.592], [3.592, 3.592, 0.000]], "species": ["Mg", "Mg", "Sc", "Pb"], "fractional_positions": [[0.000, 0.000, 0.000], [0.250, 0.250, 0.250], [0.750, 0.750, 0.750], [0.500, 0.500, 0.500]]}


{"formula": "MgScPb2", "functional": "SCAN", "state": "PBEsol geometry", "ef_kj_per_mol_atoms": -29.2, "cell": [[3.393, 0.000, 0.000], [0.000, 3.393, 0.000], [0.000, 0.000, 8.517]], "species": ["Mg", "Sc", "Pb", "Pb"], "fractional_positions": [[0.000, 0.000, 0.000], [0.000, 0.000, 0.500], [0.500, 0.500, 0.251], [0.500, 0.500, 0.749]]}


{"formula": "MgScPb2", "functional": "SCAN", "state": "PBEsol geometry", "ef_kj_per_mol_atoms": -29.9, "cell": [[-2.319, 2.319, 4.508], [2.319, -2.319, 4.508], [2.319, 2.319, -4.508]], "species": ["Mg", "Sc", "Pb", "Pb"], "fractional_positions": [[0.000, 0.000, 0.000], [0.500, 0.500, 0.000], [0.250, 0.750, 0.500], [0.750, 0.250, 0.500]]}


{"formula": "MgScPb", "functional": "SCAN", "state": "PBEsol geometry", "ef_kj_per_mol_atoms": -11.9, "cell": [[3.345, 0.000, 0.000], [-1.673, 2.897, 0.000], [0.000, 0.000, 7.661]], "species": ["Mg", "Sc", "Pb"], "fractional_positions": [[0.000, 0.000, 0.000], [0.333, 0.667, 0.335], [0.667, 0.333, 0.664]]}


{"formula": "MgScPb2", "functional": "SCAN", "state": "PBEsol geometry", "ef_kj_per_mol_atoms": -39.2, "cell": [[-2.136, 2.136, 5.228], [2.136, -2.136, 5.228], [2.136, 2.136, -5.228]], "species": ["Mg", "Sc", "Pb", "Pb"], "fractional_positions": [[0.000, 0.000, 0.000], [0.750, 0.250, 0.500], [0.250, 0.750, 0.500], [0.500, 0.500, 0.000]]}


{"formula": "MgScPb2", "functional": "SCAN", "state": "PBEsol geometry", "ef_kj_per_mol_atoms": -26.0, "cell": [[1.724, 0.995, 9.612], [-1.724, 0.995, 9.612], [0.000, -1.990, 9.612]], "species": ["Mg", "Sc", "Pb", "Pb"], "fractional_positions": [[0.000, 0.000, 0.000], [0.500, 0.500, 0.500], [0.250, 0.250, 0.250], [0.750, 0.750, 0.750]]}


Ρ per entry: 6079, 7252, 6945, 6486, 8271, 5387, 5872, 8361, 8218, 5307, 5649, 8261, 5910, 5983, 5390, 8189, 8282, 6184, 8422, 8118 kg/m3